NbZnCrF2 | GGA+U | relaxed

Values from the calculation:
**Spin magnetization**: 2.16 μB/f.u.
**N(E_F)**: 3.38 states/eV per cell
**VASP energy**: -4.7502 eV/atom

Unit cell a=3.920 b=3.920 c=5.039 alpha=90.00 beta=90.00 gamma=90.00
Fractional coordinates of all 5 atoms:
Nb (0.000, 0.000, 0.000)
Zn (0.500, 0.500, 0.000)
Cr (0.000, 0.000, 0.500)
F (0.000, 0.500, 0.500)
F (0.500, 0.000, 0.500)